This record from the Open Quantum Materials Database describes a geometry-optimized LuCoIr structure. The functional is PBE-GGA.

CIF file:
```
data_LuCoIr
_chemical_formula_sum 'Lu4 Co4 Ir4'
_space_group_name_H-M_alt 'F -4 3 m'
_space_group_IT_number 216
_space_group_name_Hall 'F -4 2 3'
_cell_length_a 6.156
_cell_length_b 6.156
_cell_length_c 6.156
_cell_angle_alpha 90.00
_cell_angle_beta 90.00
_cell_angle_gamma 90.00
loop_
_atom_site_label
_atom_site_type_symbol
_atom_site_fract_x
_atom_site_fract_y
_atom_site_fract_z
Lu1 Lu 0.000 0.000 0.000
Co1 Co 0.250 0.250 0.750
Ir1 Ir 0.250 0.250 0.250
```

Values from the calculation:
DFT total energy = -6.3312 eV per atom
Formation energy from the elements = 47.97 kJ/mol of atoms

=====

This record from the Open Quantum Materials Database describes a geometry-optimized Ta4Co9 structure. The functional is PBE-GGA.

CIF file:
```
data_Ta4Co9
_chemical_formula_sum 'Ta12 Co27'
_space_group_name_H-M_alt 'R -3 m'
_space_group_IT_number 166
_space_group_name_Hall '-R 3 2"'
_cell_length_a 4.7807
_cell_length_b 4.7807
_cell_length_c 25.1954
_cell_angle_alpha 90.00
_cell_angle_beta 90.00
_cell_angle_gamma 120.00
loop_
_atom_site_label
_atom_site_type_symbol
_atom_site_fract_x
_atom_site_fract_y
_atom_site_fract_z
Ta1 Ta 0.0000 0.0000 0.0554
Ta2 Ta 0.0000 0.0000 0.3339
Co1 Co 0.0000 0.0000 0.1551
Co2 Co 0.0000 0.0000 0.5000
Co3 Co 0.0069 0.5034 0.9067
```

Values from the calculation:
Offset from the most stable computed form = 101 meV per atom
DFT total energy = -8.6070 eV per atom
Formation energy from the elements = -3.88 kJ/mol of atoms

=====

This record from the Open Quantum Materials Database describes a geometry-optimized Y3Ga5Ni structure. The functional is PBE-GGA.

CIF file:
```
data_Y3Ga5Ni
_chemical_formula_sum 'Y3 Ga5 Ni1'
_space_group_name_H-M_alt 'P -6 2 m'
_space_group_IT_number 189
_space_group_name_Hall 'P -6 -2'
_cell_length_a 6.8793
_cell_length_b 6.8793
_cell_length_c 4.2181
_cell_angle_alpha 90.00
_cell_angle_beta 90.00
_cell_angle_gamma 120.00
loop_
_atom_site_label
_atom_site_type_symbol
_atom_site_fract_x
_atom_site_fract_y
_atom_site_fract_z
Y1 Y 0.0000 0.5922 0.0000
Ga1 Ga 0.0000 0.2350 0.5000
Ga2 Ga 0.3333 0.6667 0.5000
Ni1 Ni 0.0000 0.0000 0.0000
```

Values from the calculation:
DFT total energy = -5.1345 eV per atom

=====

This record from the Open Quantum Materials Database describes a geometry-optimized CdPt6Pb2 structure. The functional is PBE-GGA.

CIF file:
```
data_CdPt6Pb2
_chemical_formula_sum 'Cd1 Pt6 Pb2'
_space_group_name_H-M_alt 'P 4/m m m'
_space_group_IT_number 123
_space_group_name_Hall '-P 4 2'
_cell_length_a 3.952
_cell_length_b 3.952
_cell_length_c 13.254
_cell_angle_alpha 90.00
_cell_angle_beta 90.00
_cell_angle_gamma 90.00
loop_
_atom_site_label
_atom_site_type_symbol
_atom_site_fract_x
_atom_site_fract_y
_atom_site_fract_z
Cd1 Cd 0.000 0.000 0.000
Pt1 Pt 0.000 0.500 0.157
Pt2 Pt 0.500 0.500 0.000
Pt3 Pt 0.500 0.500 0.500
Pb1 Pb 0.500 0.500 0.307
```

Values from the calculation:
DFT total energy = -4.8608 eV per atom

=====

This record from the Open Quantum Materials Database describes a geometry-optimized TmTcPO structure. The functional is PBE-GGA.

CIF file:
```
data_TmTcPO
_chemical_formula_sum 'Tm2 Tc2 P2 O2'
_space_group_name_H-M_alt 'P 4/n m m'
_space_group_IT_number 129
_cell_length_a 3.887
_cell_length_b 3.887
_cell_length_c 8.169
_cell_angle_alpha 90.00
_cell_angle_beta 90.00
_cell_angle_gamma 90.00
loop_
_space_group_symop_operation_xyz
'x,y,z'
'-x,-y,-z'
'-y+1/2,x,z'
'y+1/2,-x,-z'
'-x+1/2,-y+1/2,z'
'x+1/2,y+1/2,-z'
'y,-x+1/2,z'
'-y,x+1/2,-z'
'x+1/2,-y,-z'
'-x+1/2,y,z'
'-y,-x,-z'
'y,x,z'
'-x,y+1/2,-z'
'x,-y+1/2,z'
'y+1/2,x+1/2,-z'
'-y+1/2,-x+1/2,z'
loop_
_atom_site_label
_atom_site_type_symbol
_atom_site_fract_x
_atom_site_fract_y
_atom_site_fract_z
Tm1 Tm 0.250 0.250 0.129
Tc1 Tc 0.250 0.750 0.500
P1 P 0.250 0.250 0.670
O1 O 0.250 0.750 0.000
```

Values from the calculation:
Offset from the most stable computed form = 0 meV per atom
DFT total energy = -8.2330 eV per atom

=====

This record from the Open Quantum Materials Database describes a geometry-optimized RbAgW structure. The functional is PBE-GGA.

CIF file:
```
data_RbAgW
_chemical_formula_sum 'Rb4 Ag4 W4'
_space_group_name_H-M_alt 'F -4 3 m'
_space_group_IT_number 216
_space_group_name_Hall 'F -4 2 3'
_cell_length_a 7.296
_cell_length_b 7.296
_cell_length_c 7.296
_cell_angle_alpha 90.00
_cell_angle_beta 90.00
_cell_angle_gamma 90.00
loop_
_atom_site_label
_atom_site_type_symbol
_atom_site_fract_x
_atom_site_fract_y
_atom_site_fract_z
Rb1 Rb 0.000 0.000 0.000
Ag1 Ag 0.250 0.250 0.250
W1 W 0.000 0.000 0.500
```

Values from the calculation:
Offset from the most stable computed form = 0 meV per atom
DFT total energy = -3.5030 eV per atom

=====

This record from the Open Quantum Materials Database describes a geometry-optimized PrErNb structure. The functional is PBE-GGA.

CIF file:
```
data_PrErNb
_chemical_formula_sum 'Pr4 Er4 Nb4'
_space_group_name_H-M_alt 'F -4 3 m'
_space_group_IT_number 216
_space_group_name_Hall 'F -4 2 3'
_cell_length_a 7.237
_cell_length_b 7.237
_cell_length_c 7.237
_cell_angle_alpha 90.00
_cell_angle_beta 90.00
_cell_angle_gamma 90.00
loop_
_atom_site_label
_atom_site_type_symbol
_atom_site_fract_x
_atom_site_fract_y
_atom_site_fract_z
Pr1 Pr 0.000 0.000 0.000
Er1 Er 0.000 0.000 0.500
Nb1 Nb 0.250 0.250 0.750
```

Values from the calculation:
Offset from the most stable computed form = 0 meV per atom
DFT total energy = -5.6635 eV per atom
Formation energy from the elements = 78.53 kJ/mol of atoms

=====

This record from the Open Quantum Materials Database describes a geometry-optimized ScBiPd2 structure. The functional is PBE-GGA.

CIF file:
```
data_ScBiPd2
_chemical_formula_sum 'Sc4 Bi4 Pd8'
_space_group_name_H-M_alt 'F -4 3 m'
_space_group_IT_number 216
_space_group_name_Hall 'F -4 2 3'
_cell_length_a 6.723
_cell_length_b 6.723
_cell_length_c 6.723
_cell_angle_alpha 90.00
_cell_angle_beta 90.00
_cell_angle_gamma 90.00
loop_
_atom_site_label
_atom_site_type_symbol
_atom_site_fract_x
_atom_site_fract_y
_atom_site_fract_z
Sc1 Sc 0.000 0.000 0.000
Bi1 Bi 0.250 0.250 0.750
Pd1 Pd 0.000 0.000 0.500
Pd2 Pd 0.250 0.250 0.250
```

Values from the calculation:
DFT total energy = -5.7174 eV per atom